# NbFeO2, optimized geometry, DFT PBE+U
# **Total DFT energy (no corrections)**: -0.285 Ha/atom
# **Magnetization**: 3.30 μB per formula unit
data_NbFeO2
_space_group_name_H-M_alt 'R -3 m'
_space_group_IT_number 166
_space_group_name_Hall '-R 3 2"'
_cell_length_a 2.8748
_cell_length_b 2.8748
_cell_length_c 19.8180
_cell_angle_alpha 90.00
_cell_angle_beta 90.00
_cell_angle_gamma 120.00
loop_
_atom_site_label
_atom_site_fract_x
_atom_site_fract_y
_atom_site_fract_z
Nb1 0.0000 0.0000 0.0000
Fe1 0.0000 0.0000 0.5000
O1 0.0000 0.0000 0.4034